A relaxed ReMo2Pt crystal. Source: Alexandria, functional PBE.

a = 4.864 Å, b = 4.864 Å, c = 4.899 Å
α = 81.12°, β = 81.12°, γ = 32.74°
Fractional positions:
1 Mo 0.500 0.500 0.500
2 Re 0.250 0.250 0.250
3 Mo 0.000 0.000 0.000
4 Pt 0.750 0.750 0.750

Output
Distance to the lowest polymorph of the same formula (meV per atom): 140
Symmetry: C2/m (12)
Volume (Å³/atom): 15.5
Formation energy (eV/atom): 0.00
ρ (g cm⁻³): 15.39


A relaxed ReMo4Pt crystal. Source: Alexandria, functional PBE.

a = 5.142 Å, b = 5.142 Å, c = 5.142 Å
α = 60.00°, β = 60.00°, γ = 60.00°
Fractional positions:
1 Re 0.000 0.000 0.000
2 Mo 0.625 0.126 0.625
3 Mo 0.625 0.625 0.625
4 Mo 0.126 0.625 0.625
5 Pt 0.250 0.250 0.250
6 Mo 0.625 0.625 0.126

Output
Symmetry: F-43m (216)
Volume (Å³/atom): 16.0
Formation energy (eV/atom): 0.23
ρ (g cm⁻³): 13.22


A relaxed ReMo3Pt crystal. Source: Alexandria, functional PBE.

a = 4.678 Å, b = 4.678 Å, c = 4.678 Å
α = 90.00°, β = 90.00°, γ = 90.00°
Fractional positions:
1 Re 0.000 0.000 0.000
2 Mo 0.000 0.500 0.000
3 Pt 0.500 0.500 0.500
4 Mo 0.500 0.000 0.000
5 Mo 0.000 0.000 0.500

Output
Distance to the lowest polymorph of the same formula (meV per atom): 0
Symmetry: Pm-3m (221)
Volume (Å³/atom): 20.5
Formation energy (eV/atom): 1.63
ρ (g cm⁻³): 10.86


A relaxed ReMo2Pt crystal. Source: Alexandria, functional PBE.

a = 4.139 Å, b = 2.702 Å, c = 5.997 Å
α = 68.05°, β = 90.00°, γ = 90.00°
Fractional positions:
1 Pt 0.500 0.250 0.250
2 Re 0.500 0.750 0.750
3 Mo 0.000 0.560 0.506
4 Mo 0.000 0.940 0.994

Output
Distance to the lowest polymorph of the same formula (meV per atom): 81
Symmetry: P2/m (10)
Volume (Å³/atom): 15.6
Formation energy (eV/atom): -0.06
ρ (g cm⁻³): 15.30


A relaxed Re2MoPt crystal. Source: Alexandria, functional PBE.

a = 2.764 Å, b = 2.764 Å, c = 8.020 Å
α = 90.00°, β = 90.00°, γ = 90.00°
Fractional positions:
1 Mo 0.000 0.000 0.496
2 Pt 0.500 0.500 0.752
3 Re 0.500 0.500 0.241
4 Re 0.000 0.000 0.011

Output
Distance to the lowest polymorph of the same formula (meV per atom): 53
Symmetry: P4mm (99)
Volume (Å³/atom): 15.3
Formation energy (eV/atom): -0.06
ρ (g cm⁻³): 17.98


A relaxed ReMo2Pt crystal. Source: Alexandria, functional PBE.

a = 3.317 Å, b = 3.317 Å, c = 5.702 Å
α = 90.00°, β = 90.00°, γ = 90.00°
Fractional positions:
1 Mo 0.500 0.500 0.254
2 Re 0.500 0.500 0.760
3 Mo 0.000 0.000 0.992
4 Pt 0.000 0.000 0.493

Output
Distance to the lowest polymorph of the same formula (meV per atom): 220
Symmetry: P4mm (99)
Volume (Å³/atom): 15.7
Formation energy (eV/atom): 0.08
ρ (g cm⁻³): 15.17


A relaxed ReMoPt crystal. Source: Alexandria, functional PBE.

a = 2.750 Å, b = 4.796 Å, c = 7.445 Å
α = 92.03°, β = 91.96°, γ = 104.09°
Fractional positions:
1 Pt 0.598 0.287 0.474
2 Re 0.312 0.738 0.940
3 Mo 0.002 0.183 0.146
4 Mo 0.921 0.841 0.632
5 Pt 0.325 0.737 0.304
6 Re 0.611 0.286 0.838

Output
Distance to the lowest polymorph of the same formula (meV per atom): 75
Symmetry: P-1 (2)
Volume (Å³/atom): 15.8
Formation energy (eV/atom): 0.01
ρ (g cm⁻³): 16.67


A relaxed ReMo2Pt crystal. Source: Alexandria, functional PBE.

a = 2.788 Å, b = 2.788 Å, c = 7.987 Å
α = 90.00°, β = 90.00°, γ = 90.00°
Fractional positions:
1 Re 0.500 0.500 0.750
2 Mo 0.000 0.000 0.993
3 Pt 0.500 0.500 0.250
4 Mo 0.000 0.000 0.507

Output
Distance to the lowest polymorph of the same formula (meV per atom): 51
Symmetry: P4/mmm (123)
Volume (Å³/atom): 15.5
Formation energy (eV/atom): -0.09
ρ (g cm⁻³): 15.33


volume of number 5 (Re2MoPt)? 15.3 Å³/atom


formation energy of number 2 (ReMo4Pt)? 0.23 eV/atom


Copy entry 8 word for word.
A relaxed ReMo2Pt crystal. Source: Alexandria, functional PBE.

a = 2.788 Å, b = 2.788 Å, c = 7.987 Å
α = 90.00°, β = 90.00°, γ = 90.00°
Fractional positions:
1 Re 0.500 0.500 0.750
2 Mo 0.000 0.000 0.993
3 Pt 0.500 0.500 0.250
4 Mo 0.000 0.000 0.507

Output
Distance to the lowest polymorph of the same formula (meV per atom): 51
Symmetry: P4/mmm (123)
Volume (Å³/atom): 15.5
Formation energy (eV/atom): -0.09
ρ (g cm⁻³): 15.33